(1)
An optimized crystal structure of NdGdP2Pd2. Source: OQMD, functional GGA-PBE.

a b c (Å): 4.206 4.206 7.779
angles (deg): 90.00 90.00 120.00
Positions (direct):
Nd 0.000 0.000 0.000
Gd 0.000 0.000 0.500
P 0.333 0.667 0.255
P 0.667 0.333 0.745
Pd 0.333 0.667 0.742
Pd 0.667 0.333 0.258

Calculated values
total energy: -6.35 eV per atom

(2)
An optimized crystal structure of SmAs2Au. Source: OQMD, functional GGA-PBE.

a b c (Å): 5.781 20.565 5.767
angles (deg): 90.00 90.00 90.00
Positions (direct):
Sm 0.011 0.116 0.250
Sm 0.011 0.384 0.750
Sm 0.488 0.618 0.750
Sm 0.488 0.882 0.250
Sm 0.512 0.118 0.750
Sm 0.512 0.382 0.250
Sm 0.989 0.616 0.250
Sm 0.989 0.884 0.750
As 0.012 0.156 0.750
As 0.012 0.344 0.250
As 0.269 0.001 0.523
As 0.269 0.001 0.977
As 0.269 0.499 0.023
As 0.269 0.499 0.477
As 0.489 0.657 0.250
As 0.489 0.843 0.750
As 0.511 0.157 0.250
As 0.511 0.343 0.750
As 0.731 0.501 0.523
As 0.731 0.501 0.977
As 0.731 0.999 0.023
As 0.731 0.999 0.477
As 0.988 0.656 0.750
As 0.988 0.844 0.250
Au 0.231 0.750 0.000
Au 0.231 0.750 0.500
Au 0.268 0.250 0.000
Au 0.268 0.250 0.500
Au 0.732 0.750 0.000
Au 0.732 0.750 0.500
Au 0.769 0.250 0.000
Au 0.769 0.250 0.500

Calculated values
total energy: -5.09 eV per atom

(3)
An optimized crystal structure of CoGeSb2. Source: OQMD, functional GGA-PBE.

a b c (Å): 4.869 4.869 4.869
angles (deg): 60.00 60.00 60.00
Positions (direct):
Co 0.000 0.000 0.000
Ge 0.750 0.750 0.750
Sb 0.250 0.250 0.250
Sb 0.500 0.500 0.500

Calculated values
total energy: -4.41 eV per atom

(4)
An optimized crystal structure of NdErSbBr2. Source: OQMD, functional GGA-PBE.

a b c (Å): 4.277 4.277 10.933
angles (deg): 90.00 90.00 120.00
Positions (direct):
Nd 0.000 0.000 0.000
Er 0.667 0.333 0.677
Sb 0.333 0.667 0.829
Br 0.000 0.000 0.525
Br 0.667 0.333 0.165

Calculated values
total energy: -4.83 eV per atom

(5)
An optimized crystal structure of BaDyTa. Source: OQMD, functional GGA-PBE.

a b c (Å): 5.354 5.354 5.354
angles (deg): 60.00 60.00 60.00
Positions (direct):
Ba 0.000 0.000 0.000
Dy 0.250 0.250 0.250
Ta 0.500 0.500 0.500

Calculated values
total energy: -4.57 eV per atom
offset from the most stable computed form: 0.0 meV/atom

(6)
An optimized crystal structure of HfTc2Pt. Source: OQMD, functional GGA-PBE.

a b c (Å): 4.514 4.514 4.514
angles (deg): 60.00 60.00 60.00
Positions (direct):
Hf 0.000 0.000 0.000
Tc 0.250 0.250 0.250
Tc 0.500 0.500 0.500
Pt 0.750 0.750 0.750

Calculated values
DFT formation energy: -0.21 eV/atom
total energy: -9.39 eV per atom

(7)
An optimized crystal structure of ScCoBiMo. Source: OQMD, functional GGA-PBE.

a b c (Å): 4.619 4.619 4.619
angles (deg): 60.00 60.00 60.00
Positions (direct):
Sc 0.000 0.000 0.000
Co 0.750 0.750 0.750
Bi 0.500 0.500 0.500
Mo 0.250 0.250 0.250

Calculated values
total energy: -6.80 eV per atom
offset from the most stable computed form: 0.0 meV/atom

(8)
An optimized crystal structure of KCdPd. Source: OQMD, functional GGA-PBE.

a b c (Å): 5.153 5.153 5.153
angles (deg): 60.00 60.00 60.00
Positions (direct):
K 0.000 0.000 0.000
Cd 0.750 0.750 0.750
Pd 0.250 0.250 0.250

Calculated values
total energy: -1.82 eV per atom
offset from the most stable computed form: 506.7 meV/atom

(9)
An optimized crystal structure of PmLuGa. Source: OQMD, functional GGA-PBE.

a b c (Å): 4.967 4.967 4.967
angles (deg): 60.00 60.00 60.00
Positions (direct):
Pm 0.000 0.000 0.000
Lu 0.500 0.500 0.500
Ga 0.750 0.750 0.750

Calculated values
total energy: -4.34 eV per atom
offset from the most stable computed form: 0.0 meV/atom

(10)
An optimized crystal structure of SrErCu2Sb2. Source: OQMD, functional GGA-PBE.

a b c (Å): 4.440 4.440 8.479
angles (deg): 90.00 90.00 120.00
Positions (direct):
Sr 0.000 0.000 0.000
Er 0.000 0.000 0.500
Cu 0.333 0.667 0.301
Cu 0.667 0.333 0.704
Sb 0.333 0.667 0.734
Sb 0.667 0.333 0.266

Calculated values
total energy: -4.33 eV per atom

(11)
An optimized crystal structure of Hf2MoPd. Source: OQMD, functional GGA-PBE.

a b c (Å): 3.332 3.332 6.555
angles (deg): 90.00 90.00 90.00
Positions (direct):
Hf 0.000 0.000 0.241
Hf 0.000 0.000 0.759
Mo 0.500 0.500 0.000
Pd 0.500 0.500 0.500

Calculated values
DFT formation energy: -0.47 eV/atom
total energy: -9.46 eV per atom

(12)
An optimized crystal structure of NaW3Se5. Source: OQMD, functional GGA-PBE.

a b c (Å): 5.748 5.748 7.504
angles (deg): 90.00 90.00 120.00
Positions (direct):
Na 0.000 0.000 0.000
W 0.000 0.500 0.500
W 0.500 0.000 0.500
W 0.500 0.500 0.500
Se 0.000 0.000 0.500
Se 0.333 0.667 0.235
Se 0.333 0.667 0.765
Se 0.667 0.333 0.235
Se 0.667 0.333 0.765

Calculated values
total energy: -6.46 eV per atom

(13)
An optimized crystal structure of SrMoIr. Source: OQMD, functional GGA-PBE.

a b c (Å): 4.743 4.743 4.743
angles (deg): 60.00 60.00 60.00
Positions (direct):
Sr 0.000 0.000 0.000
Mo 0.250 0.250 0.250
Ir 0.750 0.750 0.750

Calculated values
total energy: -5.21 eV per atom
offset from the most stable computed form: 1104.9 meV/atom

(14)
An optimized crystal structure of LuInBi2. Source: OQMD, functional GGA-PBE.

a b c (Å): 5.472 5.472 5.472
angles (deg): 60.00 60.00 60.00
Positions (direct):
Lu 0.000 0.000 0.000
In 0.750 0.750 0.750
Bi 0.250 0.250 0.250
Bi 0.500 0.500 0.500

Calculated values
total energy: -3.92 eV per atom

(15)
An optimized crystal structure of GaCuOsAu. Source: OQMD, functional GGA-PBE.

a b c (Å): 4.392 4.392 4.392
angles (deg): 60.00 60.00 60.00
Positions (direct):
Ga 0.000 0.000 0.000
Cu 0.250 0.250 0.250
Os 0.750 0.750 0.750
Au 0.500 0.500 0.500

Calculated values
total energy: -5.00 eV per atom
offset from the most stable computed form: 0.0 meV/atom

(16)
An optimized crystal structure of AgHgSeO. Source: OQMD, functional GGA-PBE.

a b c (Å): 3.769 3.769 11.218
angles (deg): 90.00 90.00 90.00
Positions (direct):
Ag 0.250 0.250 0.106
Ag 0.750 0.750 0.894
Hg 0.250 0.250 0.719
Hg 0.750 0.750 0.281
Se 0.250 0.750 0.500
Se 0.750 0.250 0.500
O 0.250 0.250 0.907
O 0.750 0.750 0.093

Calculated values
total energy: -2.67 eV per atom
offset from the most stable computed form: 312.1 meV/atom

(17)
An optimized crystal structure of DyZrCS. Source: OQMD, functional GGA-PBE.

a b c (Å): 3.541 3.541 12.631
angles (deg): 90.00 90.00 120.00
Positions (direct):
Dy 0.000 0.000 0.151
Dy 0.000 0.000 0.849
Zr 0.333 0.667 0.357
Zr 0.333 0.667 0.643
C 0.667 0.333 0.266
C 0.667 0.333 0.734
S 0.000 0.000 0.500
S 0.333 0.667 0.000

Calculated values
total energy: -7.89 eV per atom
offset from the most stable computed form: 10.0 meV/atom

(18)
An optimized crystal structure of InCo2S3. Source: OQMD, functional GGA-PBE.

a b c (Å): 6.551 6.551 6.426
angles (deg): 99.37 99.37 119.97
Positions (direct):
In 0.092 0.908 0.500
In 0.908 0.092 0.000
Co 0.255 0.740 0.984
Co 0.406 0.567 0.486
Co 0.567 0.406 0.986
Co 0.740 0.255 0.484
S 0.123 0.576 0.623
S 0.326 0.491 0.126
S 0.491 0.326 0.626
S 0.576 0.123 0.123
S 0.742 0.946 0.583
S 0.946 0.742 0.083

Calculated values
total energy: -5.18 eV per atom

(19)
An optimized crystal structure of TaAlCdCo. Source: OQMD, functional GGA-PBE.

a b c (Å): 4.466 4.466 4.466
angles (deg): 60.00 60.00 60.00
Positions (direct):
Ta 0.000 0.000 0.000
Al 0.500 0.500 0.500
Cd 0.250 0.250 0.250
Co 0.750 0.750 0.750

Calculated values
total energy: -5.71 eV per atom
offset from the most stable computed form: 0.0 meV/atom

(20)
An optimized crystal structure of Tl2Ni3S4. Source: OQMD, functional GGA-PBE.

a b c (Å): 8.234 7.155 5.788
angles (deg): 78.22 58.29 43.48
Positions (direct):
Tl 0.149 0.149 0.851
Tl 0.851 0.851 0.149
Ni 0.000 0.000 0.500
Ni 0.500 0.500 0.000
Ni 0.500 0.500 0.500
S 0.222 0.556 0.444
S 0.444 0.778 0.222
S 0.556 0.222 0.778
S 0.778 0.444 0.556

Calculated values
total energy: -4.60 eV per atom